Crystalline Cs2BaNi3F12 at its relaxed geometry, computed with PBE with a Hubbard U.

Summary:
VASP energy   -0.157 Ha/atom

abc: 7.5740 7.5740 18.1116
angles: 90.00 90.00 120.00
Last column: nearest neighbours and their distance in Å.
Space group R-3m (No. 166, hexagonal axes)
Asymmetric unit:
Cs  0.0000  0.0000  0.1085  6 F 2.94-3.21
Ba  0.0000  0.0000  0.5000  6 F 2.68
Ni  0.0000  0.5000  0.0000  6 F 1.89-1.99
F  0.0357  0.5178  0.8962  1 Ni 1.89
F  0.0828  0.5414  0.3177  2 Ni 1.99